No. 1
Density functional theory data (PBE-GGA) for a relaxed Na2ScMnRe crystal.

Cell lengths 5.500, 5.500, 4.806 Å; angles 90.00, 90.00, 90.00 degrees
Last column: magnetic moment on the atom in μB.
Sites, in units of the cell vectors:
Sc  0.000  0.000  0.500  0.17
Re  0.000  0.000  0.000  -0.98
Mn  0.500  0.500  0.500  -4.36
Na  0.000  0.500  0.000  0.00
Na  0.500  0.000  0.000  0.00

formation energy from the elements: 1.4488 eV/atom
space group: P4/mmm
calculated volume: 29.1 A^3/atom



No. 2
Density functional theory data (PBE-GGA) for a relaxed Na2SrMnRe crystal.

Cell lengths 5.680, 5.731, 5.680 Å; angles 90.00, 90.00, 90.00 degrees
Last column: magnetic moment on the atom in μB.
Sites, in units of the cell vectors:
Re  0.000  0.000  0.000  -2.20
Mn  0.500  0.500  0.500  4.44
Na  0.000  0.000  0.500  -0.01
Na  0.500  0.000  0.000  -0.02
Sr  0.000  0.500  0.000  -0.01

formation energy from the elements: 1.6419 eV/atom
space group: P4/mmm
calculated volume: 37.0 A^3/atom



No. 3
Density functional theory data (PBE-GGA) for a relaxed Na2TiMnRe crystal.

Cell lengths 5.300, 4.432, 5.300 Å; angles 90.00, 90.00, 90.00 degrees
Last column: magnetic moment on the atom in μB.
Sites, in units of the cell vectors:
Re  0.000  0.000  0.000  -1.25
Mn  0.000  0.500  0.000  2.66
Na  0.000  0.000  0.500  -0.01
Na  0.500  0.000  0.000  -0.02
Ti  0.500  0.500  0.500  0.09

formation energy from the elements: 1.7836 eV/atom
space group: P4/mmm
calculated volume: 24.9 A^3/atom



No. 4
Density functional theory data (PBE-GGA) for a relaxed Na2MnTlRe crystal.

Cell lengths 5.555, 5.193, 5.555 Å; angles 90.00, 90.00, 90.00 degrees
Last column: magnetic moment on the atom in μB.
Sites, in units of the cell vectors:
Re  0.500  0.500  0.500  3.68
Tl  0.000  0.000  0.000  -0.12
Mn  0.000  0.500  0.000  4.07
Na  0.000  0.000  0.500  -0.02
Na  0.500  0.000  0.000  -0.01

formation energy from the elements: 1.7529 eV/atom
space group: P4/mmm
calculated volume: 32.1 A^3/atom



No. 5
Density functional theory data (PBE-GGA) for a relaxed NaMn3Rh crystal.

Cell lengths 4.165, 4.165, 4.165 Å; angles 90.00, 90.00, 90.00 degrees
Last column: magnetic moment on the atom in μB.
Sites, in units of the cell vectors:
Na  0.000  0.000  0.000  0.02
Mn  0.000  0.500  0.000  -0.34
Mn  0.000  0.000  0.500  -0.50
Mn  0.500  0.000  0.000  -0.18
Rh  0.500  0.500  0.500  -0.17

formation energy from the elements: 2.5258 eV/atom
E above lowest polymorph: 1.808 eV per atom
space group: Pm-3m
calculated volume: 14.5 A^3/atom



No. 6
Density functional theory data (PBE-GGA) for a relaxed NaMn2Rh2 crystal.

Cell lengths 7.389, 7.389, 2.626 Å; angles 90.00, 90.00, 90.00 degrees
Sites, in units of the cell vectors:
Na  0.000  0.000  0.000
Na  0.500  0.500  0.000
Mn  0.389  0.889  0.000
Mn  0.889  0.611  0.000
Mn  0.611  0.111  0.000
Mn  0.111  0.389  0.000
Rh  0.172  0.672  0.500
Rh  0.672  0.828  0.500
Rh  0.828  0.328  0.500
Rh  0.328  0.172  0.500

formation energy from the elements: 0.2281 eV/atom
E above lowest polymorph: 0.000 eV per atom
space group: P4/mbm
calculated volume: 14.3 A^3/atom



no.,spin magnetization (μB/f.u.)
1,5.349
2,2.282
3,1.531
4,8.577
5,1.213
6,0.033